Record 1
The following is a GGA-PBE calculation of a geometry-optimized Li2BeIn structure, from Alexandria.

* polymorph energy (0 for the lowest one): 0.195 eV per atom
* ΔE_f: 49 kJ/mol of formula units
* crystal system: monoclinic

```
Li2BeIn
1.0
-2.2181 -3.7112 2.7168
2.8264 -1.3861 -4.0204
2.3251 -0.7168 1.4935
Be In Li
1 1 2
Cartesian
0.0535 -2.2140 2.1051
2.5757 -1.0514 -1.2635
0.0000 0.0000 0.0000
0.3042 -2.5486 -0.6518
```


Record 2
The following is a GGA-PBE calculation of a geometry-optimized LiBe2In2 structure, from Alexandria.

* polymorph energy (0 for the lowest one): 0.000 eV per atom
* ΔE_f: 128 kJ/mol of formula units
* crystal system: tetragonal

```
LiBe2In2
1.0
7.1615 0.0000 0.0000
0.0000 7.1615 0.0000
0.0000 0.0000 3.2898
Be Li In
4 2 4
Cartesian
2.8284 6.4092 0.0000
6.4092 4.3331 0.0000
4.3331 0.7524 0.0000
0.7524 2.8284 0.0000
0.0000 0.0000 0.0000
3.5808 3.5808 0.0000
1.3701 4.9509 1.6449
4.9509 5.7914 1.6449
5.7914 2.2106 1.6449
2.2106 1.3701 1.6449
```


Record 3
The following is a GGA-PBE calculation of a geometry-optimized Li2Be2In structure, from Alexandria.

* ΔE_f: 194 kJ/mol of formula units
* crystal system: tetragonal

```
Li2Be2In
1.0
3.3540 4.5583 2.9305
0.9812 6.1408 -1.3939
-4.2584 -4.7012 0.6162
Li Be In
2 2 1
Cartesian
-0.5548 3.3946 -0.0047
0.6316 2.6033 2.1575
2.5572 6.3112 0.9064
1.7779 4.3879 0.6302
0.0000 0.0000 0.0000
```


Record 4
The following is a GGA-PBE calculation of a geometry-optimized LiBe2In structure, from Alexandria.

* ΔE_f: 188 kJ/mol of formula units
* crystal system: trigonal

```
LiBe2In
1.0
8.5854 -0.0201 -0.0118
8.0993 2.8480 -0.0118
8.0993 1.3727 2.4954
Be In Li
2 1 1
Cartesian
24.5568 4.1621 2.4490
6.4649 1.0957 0.6447
12.5609 2.1289 1.2527
18.3774 3.1148 1.8328
```


Record 5
The following is a GGA-PBE calculation of a geometry-optimized Li2BeIn2 structure, from Alexandria.

* polymorph energy (0 for the lowest one): 0.077 eV per atom
* ΔE_f: 75 kJ/mol of formula units
* crystal system: tetragonal

```
Li2BeIn2
1.0
-0.2886 -1.4478 6.3356
6.4655 0.5785 0.4267
-0.4233 4.0609 0.9087
Be Li In
2 4 4
Cartesian
0.0000 0.0000 0.0000
3.0885 -0.4347 3.3812
5.4549 -0.0235 2.6461
3.8914 -0.8744 5.7203
0.7220 -0.8458 4.1162
2.2855 0.0050 1.0421
4.0912 2.1691 1.8392
4.9396 1.5340 5.0725
1.6625 1.0225 5.8319
0.8141 1.6576 2.5986
```


Record 6
The following is a GGA-PBE calculation of a geometry-optimized Li2BeIn structure, from Alexandria.

* polymorph energy (0 for the lowest one): 0.136 eV per atom
* ΔE_f: 26 kJ/mol of formula units
* crystal system: tetragonal

```
Li2BeIn
1.0
-3.4680 3.6820 0.5300
-3.1378 -0.4738 3.9743
5.0307 -0.1973 -0.7203
Be In Li
1 1 2
Cartesian
-0.7051 0.4665 2.7531
-0.8702 2.5444 1.0309
0.0000 0.0000 0.0000
-3.3029 1.6041 2.2521
```


Record 7
The following is a GGA-PBE calculation of a geometry-optimized Li2BeIn structure, from Alexandria.

* polymorph energy (0 for the lowest one): 0.181 eV per atom
* ΔE_f: 44 kJ/mol of formula units
* crystal system: monoclinic

```
Li2BeIn
1.0
-2.2358 1.2103 -3.5438
-1.5220 -2.4200 0.1337
-4.4109 0.8524 3.0740
Be In Li
1 1 2
Cartesian
-2.6011 0.2133 -0.9700
-5.5676 -0.5705 0.6339
-0.1365 -0.0752 0.0604
-2.8299 -0.7086 1.5434
```


Record 8
The following is a GGA-PBE calculation of a geometry-optimized LiBe2In structure, from Alexandria.

* ΔE_f: 143 kJ/mol of formula units
* crystal system: tetragonal

```
LiBe2In
1.0
3.1682 0.0000 0.0000
0.0000 3.1615 0.0000
0.0000 0.0000 5.5299
Be In Li
2 1 1
Cartesian
0.0000 0.0000 5.2898
0.0000 0.0000 3.0050
1.5841 1.5807 1.3825
1.5841 1.5807 4.1474
```


| no. | total magnetization (μB per formula unit) | raw total energy (Ha/atom) |
| --- | --- | --- |
| 1 | 0.0 | -0.090 |
| 2 | 0.0 | -0.099 |
| 3 | 0.0 | -0.088 |
| 4 | 0.0 | -0.093 |
| 5 | 0.0 | -0.090 |
| 6 | 0.0 | -0.092 |
| 7 | 0.0 | -0.090 |
| 8 | 0.0 | -0.098 |